Density functional theory data (meta-GGA SCAN) for a crystal of ScReAu2 relaxed with PBEsol.

The structure in extended XYZ format:
```
4
Lattice="2.856 0.000 0.000 1.428 2.474 0.000 1.428 0.825 9.410" Properties=species:S:1:pos:R:3 pbc="T T T"
Au 1.428 0.825 2.397
Au 4.285 2.474 7.012
Re 2.856 1.649 4.705
Sc 0.000 0.000 0.000
```

Computed properties:
VASP energy = -55.745 eV per atom
Excess energy over the best structure of this formula in the dataset = 279 meV/atom
V = 66.5 Å³ per cell

Density functional theory data (meta-GGA SCAN) for a crystal of RbLiNO2 relaxed with PBEsol.

The structure in extended XYZ format:
```
5
Lattice="-2.082 3.107 -1.491 -2.800 -0.511 2.847 2.185 2.730 2.639" Properties=species:S:1:pos:R:3 pbc="T T T"
Li 0.000 0.000 0.000
O -1.400 -0.255 1.423
O -1.041 1.553 -0.745
Rb -1.349 2.663 1.997
N 1.092 1.365 1.319
```

Computed properties:
Uncorrected formation energy = 0.107 eV/atom
VASP energy = -8.869 eV per atom
V = 71.0 Å³ per cell

Density functional theory data (meta-GGA SCAN) for a crystal of CsMnI2Cl relaxed with PBEsol.

The structure in extended XYZ format:
```
5
Lattice="4.950 0.000 0.000 0.000 5.809 0.000 0.000 0.000 5.809" Properties=species:S:1:pos:R:3 pbc="T T T"
Cs 2.475 2.904 2.904
I 0.000 0.000 2.904
I 0.000 2.904 0.000
Mn 0.000 0.000 0.000
Cl 2.475 0.000 0.000
```

Computed properties:
Uncorrected formation energy = -1.373 eV/atom
VASP energy = -28.878 eV per atom
V = 167.0 Å³ per cell

Density functional theory data (meta-GGA SCAN) for a crystal of Sr2LaP relaxed with PBEsol.

The structure in extended XYZ format:
```
4
Lattice="-1.254 2.896 2.186 -4.835 -2.415 0.426 5.162 -3.503 4.232" Properties=species:S:1:pos:R:3 pbc="T T T"
La 1.748 -2.693 4.571
P 0.462 -0.230 3.940
Sr 0.332 -0.512 0.868
Sr -1.351 -2.851 3.002
```

Computed properties:
VASP energy = -25.106 eV per atom
Excess energy over the best structure of this formula in the dataset = 0 meV/atom
V = 140.8 Å³ per cell

Density functional theory data (meta-GGA SCAN) for a crystal of Cd2Ga2Sn relaxed with PBEsol.

The structure in extended XYZ format:
```
10
Lattice="-2.515 -0.413 -1.804 4.808 -3.025 -6.010 -0.953 -7.618 3.072" Properties=species:S:1:pos:R:3 pbc="T T T"
Sn 0.000 0.000 0.000
Sn 1.927 -5.321 -1.469
Ga -1.104 -5.754 0.154
Ga 1.135 -8.586 -2.319
Ga 2.444 -5.301 -4.896
Ga 0.205 -2.469 -2.423
Cd 0.930 -7.693 0.464
Cd 3.553 -7.454 -3.247
Cd 2.924 -2.950 -3.402
Cd 0.302 -3.189 0.309
```

Computed properties:
VASP energy = -25.718 eV per atom
Excess energy over the best structure of this formula in the dataset = 25 meV/atom
V = 213.5 Å³ per cell

Density functional theory data (meta-GGA SCAN) for a crystal of Ti2N2O relaxed with PBEsol.

The structure in extended XYZ format:
```
40
Lattice="8.117 0.004 0.000 -2.700 7.675 0.001 -2.709 -3.828 6.650" Properties=species:S:1:pos:R:3 pbc="T T T"
Ti -3.953 0.016 6.636
Ti 3.793 2.984 2.008
Ti -1.552 3.987 3.087
Ti 1.161 2.112 6.343
Ti -1.017 6.592 1.384
Ti 3.877 2.585 4.939
Ti 1.061 -1.238 4.962
Ti -1.141 1.297 1.663
Ti 6.687 -1.906 3.374
Ti -1.348 3.842 6.612
Ti 1.549 5.115 1.730
Ti 1.366 1.971 3.387
Ti 3.813 -2.755 5.306
Ti 4.324 -0.153 3.596
Ti 1.542 1.771 0.262
Ti -1.143 0.798 4.645
N -3.079 -1.734 6.614
N -0.390 4.672 1.556
N 6.042 0.099 0.345
N -0.818 4.544 4.826
N 1.821 3.122 1.740
N -3.486 3.841 3.623
N 0.917 0.712 4.901
N 1.908 3.174 4.818
N -0.888 -1.205 5.139
N -3.349 3.735 6.339
N 3.491 -0.663 1.825
N 2.073 5.519 3.589
N 6.206 -0.003 2.986
N -0.649 2.266 3.366
N 3.351 1.568 3.233
N -3.060 0.941 5.182
O 5.743 5.574 0.056
O 3.646 1.964 0.266
O 5.747 2.890 1.466
O 0.772 0.646 1.831
O 0.647 -1.637 3.053
O -0.888 1.909 6.378
O 3.604 5.050 1.484
O 3.074 -0.823 5.112
```

Computed properties:
Uncorrected formation energy = -2.139 eV/atom
VASP energy = -13.513 eV per atom
V = 414.4 Å³ per cell

Density functional theory data (meta-GGA SCAN) for a crystal of CdFeTc relaxed with PBEsol.

The structure in extended XYZ format:
```
3
Lattice="-0.935 -2.564 -0.502 2.499 -0.723 -0.965 0.751 0.078 5.875" Properties=species:S:1:pos:R:3 pbc="T T T"
Cd 0.020 -0.020 0.066
Fe 1.350 -2.223 1.172
Tc 0.945 -0.965 3.170
```

Computed properties:
VASP energy = -27.599 eV per atom
Excess energy over the best structure of this formula in the dataset = 0 meV/atom
V = 43.0 Å³ per cell

Density functional theory data (meta-GGA SCAN) for a crystal of Ca2NiSb relaxed with PBEsol.

The structure in extended XYZ format:
```
4
Lattice="4.355 0.000 0.000 0.000 4.355 0.000 -2.177 -2.177 4.800" Properties=species:S:1:pos:R:3 pbc="T T T"
Sb 0.000 2.177 2.400
Ca 0.000 0.000 0.000
Ca 2.177 0.000 2.400
Ni 2.177 2.177 0.000
```

Computed properties:
Uncorrected formation energy = -0.254 eV/atom
VASP energy = -18.444 eV per atom
V = 91.0 Å³ per cell

Density functional theory data (meta-GGA SCAN) for a crystal of LiBe relaxed with PBEsol.

The structure in extended XYZ format:
```
2
Lattice="3.302 0.000 0.000 1.651 2.860 0.000 1.651 0.953 2.696" Properties=species:S:1:pos:R:3 pbc="T T T"
Be 0.000 0.000 0.000
Li 3.302 1.907 1.348
```

Computed properties:
VASP energy = -2.508 eV per atom
Excess energy over the best structure of this formula in the dataset = 627 meV/atom
V = 25.5 Å³ per cell

Density functional theory data (meta-GGA SCAN) for a crystal of Re5Mo relaxed with PBEsol.

The structure in extended XYZ format:
```
6
Lattice="4.464 0.000 0.000 0.000 4.776 0.000 0.000 -2.388 4.136" Properties=species:S:1:pos:R:3 pbc="T T T"
Mo 2.232 0.000 0.000
Re 0.000 0.801 1.387
Re 0.000 3.175 0.000
Re 0.000 -1.587 2.750
Re 2.232 0.000 2.758
Re 2.232 2.388 1.379
```

Computed properties:
VASP energy = -64.961 eV per atom
Excess energy over the best structure of this formula in the dataset = 11 meV/atom
V = 88.2 Å³ per cell

Density functional theory data (meta-GGA SCAN) for a crystal of CrP2H15N2O11 relaxed with PBEsol.

The structure in extended XYZ format:
```
62
Lattice="7.298 -0.055 -0.052 1.674 8.645 -0.028 1.674 0.361 8.637" Properties=species:S:1:pos:R:3 pbc="T T T"
Cr 5.996 1.944 1.858
Cr 4.651 7.008 6.699
P 3.809 2.271 4.235
P 3.809 4.333 2.078
P 6.838 6.681 4.322
P 6.838 4.619 6.479
H 5.324 2.964 5.860
H 5.324 5.988 2.697
H 8.321 8.393 2.998
H 8.321 3.373 8.249
H 2.326 0.559 5.559
H 2.326 5.579 0.308
H 0.619 0.124 2.106
H 0.619 2.110 0.029
H 10.028 8.828 6.451
H 10.028 6.842 8.528
H 7.169 3.662 3.500
H 3.478 5.290 5.056
H 8.153 2.342 3.379
H 8.153 3.481 2.187
H 2.494 6.610 5.178
H 2.494 5.470 6.370
H 5.048 0.219 0.209
H 5.599 8.732 8.348
H 3.937 0.329 1.446
H 3.937 1.459 0.264
H 6.710 8.622 7.111
H 6.710 7.492 8.293
H 3.825 7.456 2.319
H 3.825 2.653 7.344
H 6.822 1.496 6.238
H 6.822 6.299 1.213
H 2.356 0.282 3.033
H 2.356 3.043 0.145
H 8.291 8.669 5.523
H 8.291 5.908 8.412
N 7.532 2.966 2.835
N 3.115 5.985 5.722
N 4.570 0.877 0.839
N 6.077 8.074 7.718
O 5.025 1.690 3.529
O 5.025 3.602 1.529
O 5.622 7.262 5.028
O 5.622 5.349 7.028
O 4.168 2.694 5.676
O 4.168 5.791 2.436
O 6.479 6.257 2.881
O 6.479 3.160 6.121
O 2.560 1.410 4.215
O 2.560 4.274 1.219
O 8.087 7.542 4.342
O 8.087 4.677 7.338
O 3.423 3.674 3.512
O 7.224 5.277 5.045
O 6.902 0.229 2.168
O 6.902 2.176 0.131
O 3.745 8.723 6.389
O 3.745 6.775 8.426
O 3.779 8.439 2.159
O 3.779 2.536 8.333
O 6.868 0.513 6.398
O 6.868 6.415 0.224
```

Computed properties:
VASP energy = -7.098 eV per atom
V = 546.5 Å³ per cell

Density functional theory data (meta-GGA SCAN) for a crystal of HfNbIn2 relaxed with PBEsol.

The structure in extended XYZ format:
```
4
Lattice="4.822 0.000 0.000 2.411 4.176 0.000 2.411 1.392 3.937" Properties=species:S:1:pos:R:3 pbc="T T T"
Nb 0.000 0.000 0.000
Hf 4.822 2.784 1.969
In 2.411 1.392 0.984
In 7.233 4.176 2.953
```

Computed properties:
VASP energy = -40.582 eV per atom
V = 79.3 Å³ per cell

Density functional theory data (meta-GGA SCAN) for a crystal of LiZrMn relaxed with PBEsol.

The structure in extended XYZ format:
```
3
Lattice="2.923 0.000 0.000 -1.461 2.531 0.000 0.000 0.000 7.285" Properties=species:S:1:pos:R:3 pbc="T T T"
Li 0.000 0.000 7.138
Mn 0.000 1.687 4.843
Zr 1.461 0.844 2.588
```

Computed properties:
VASP energy = -16.934 eV per atom
Excess energy over the best structure of this formula in the dataset = 86 meV/atom
V = 53.9 Å³ per cell

Density functional theory data (meta-GGA SCAN) for a crystal of SiPtO2F relaxed with PBEsol.

The structure in extended XYZ format:
```
5
Lattice="3.963 0.000 0.000 0.000 3.963 0.000 0.000 0.000 4.123" Properties=species:S:1:pos:R:3 pbc="T T T"
Si 1.981 1.981 2.061
O 0.000 1.981 0.000
O 1.981 0.000 0.000
Pt 0.000 0.000 0.000
F 0.000 0.000 2.061
```

Computed properties:
Uncorrected formation energy = -0.081 eV/atom
VASP energy = -19.323 eV per atom
V = 64.8 Å³ per cell

Density functional theory data (meta-GGA SCAN) for a crystal of NiRu2Pt relaxed with PBEsol.

The structure in extended XYZ format:
```
4
Lattice="2.646 0.000 0.000 0.000 3.763 0.000 0.000 0.000 5.261" Properties=species:S:1:pos:R:3 pbc="T T T"
Ni 1.323 1.881 0.000
Pt 1.323 1.881 2.631
Ru 0.000 0.000 4.041
Ru 0.000 0.000 1.220
```

Computed properties:
VASP energy = -38.890 eV per atom
Excess energy over the best structure of this formula in the dataset = 108 meV/atom
V = 52.4 Å³ per cell

Density functional theory data (meta-GGA SCAN) for a crystal of SmCdPd2 relaxed with PBEsol.

The structure in extended XYZ format:
```
4
Lattice="4.765 0.000 0.000 2.382 4.127 0.000 2.382 1.376 3.891" Properties=species:S:1:pos:R:3 pbc="T T T"
Sm 4.765 2.751 1.945
Pd 2.382 1.376 0.973
Pd 7.147 4.127 2.918
Cd 0.000 0.000 0.000
```

Computed properties:
VASP energy = -35.822 eV per atom
V = 76.5 Å³ per cell

Density functional theory data (meta-GGA SCAN) for a crystal of Y2TaSb relaxed with PBEsol.

The structure in extended XYZ format:
```
4
Lattice="-1.005 0.658 -3.328 -2.187 -2.230 -1.661 -8.587 4.432 1.588" Properties=species:S:1:pos:R:3 pbc="T T T"
Sb -5.690 1.299 -1.786
Ta -3.160 0.857 -0.757
Y -3.447 -1.404 -4.879
Y -8.563 1.967 -2.667
```

Computed properties:
Uncorrected formation energy = 0.068 eV/atom
VASP energy = -39.815 eV per atom
V = 103.8 Å³ per cell

Density functional theory data (meta-GGA SCAN) for a crystal of Mn2AlSb relaxed with PBEsol.

The structure in extended XYZ format:
```
4
Lattice="2.855 0.000 0.000 0.000 2.855 0.000 0.000 0.000 7.539" Properties=species:S:1:pos:R:3 pbc="T T T"
Sb 0.000 0.000 3.324
Mn 0.000 0.000 0.223
Mn 1.428 1.428 1.497
Al 1.428 1.428 6.264
```

Computed properties:
Uncorrected formation energy = 0.144 eV/atom
VASP energy = -20.237 eV per atom
V = 61.5 Å³ per cell

Density functional theory data (meta-GGA SCAN) for a crystal of Be2RhPb relaxed with PBEsol.

The structure in extended XYZ format:
```
4
Lattice="3.834 0.000 0.000 0.000 3.834 0.000 -1.917 -1.917 3.714" Properties=species:S:1:pos:R:3 pbc="T T T"
Pb 0.000 0.000 0.000
Be 1.917 0.000 1.857
Be 0.000 1.917 1.857
Rh 1.917 1.917 0.000
```

Computed properties:
VASP energy = -29.418 eV per atom
V = 54.6 Å³ per cell